Computed, not measured: a PBEsol-optimized structure of Er3Pb at the meta-GGA SCAN level of DFT.

- space group = P6_3/mmc, No. 194
- calculated formation energy (kJ per mole of atoms) = -37.5
- size of the total moment (μB per cell) = 2.95

Cell: 6.679 6.679 5.521 Å, 90.00 90.00 120.00°
Fractional positions:
Er: 0.169 0.338 0.250
Er: 0.169 0.831 0.250
Er: 0.338 0.169 0.750
Er: 0.662 0.831 0.250
Er: 0.831 0.169 0.750
Er: 0.831 0.662 0.750
Pb: 0.333 0.667 0.750
Pb: 0.667 0.333 0.250